(1)
This record from the Alexandria database describes a geometry-optimized SrLa2ScBe structure. The functional is PBE.

formation enthalpy at 0 K = 1.032 eV/atom
symmetry = P4/mmm (123)
DFT total energy = -16.43 eV per cell
V = 192.2 Å³/cell

Unit cell a=5.6633 b=5.6633 c=5.9927 alpha=90.00 beta=90.00 gamma=90.00
Fractional positions:
1 Sr 0.0000 0.0000 0.0000
2 La 0.0000 0.5000 0.5000
3 La 0.5000 0.0000 0.5000
4 Sc 0.0000 0.0000 0.5000
5 Be 0.5000 0.5000 0.0000



(2)
This record from the Alexandria database describes a geometry-optimized Sr2TcF structure. The functional is PBE.

energy relative to the lowest polymorph listed for this composition = 0.00 eV per formula unit
symmetry = I-42d (122)
energy relative to the elements, uncorrected = -582 meV/atom
DFT total energy = -35.86 eV per cell
V = 221.1 Å³/cell

Unit cell a=6.6256 b=6.6256 c=6.6256 alpha=113.33 beta=113.33 gamma=102.01
Fractional positions:
1 Sr 0.0499 0.1250 0.4249
2 Sr 0.3750 0.9501 0.0751
3 Sr 0.7001 0.6250 0.5751
4 Sr 0.8750 0.2999 0.9249
5 Tc 0.2500 0.7500 0.5000
6 Tc 0.5000 0.5000 0.0000
7 F 0.0000 0.0000 0.0000
8 F 0.7500 0.2500 0.5000



(3)
This record from the Alexandria database describes a geometry-optimized YAu3Se structure. The functional is PBE.

energy relative to the lowest polymorph listed for this composition = 2.86 eV per formula unit
symmetry = Pm-3m (221)
energy relative to the elements, uncorrected = 671 meV/atom
DFT total energy = -16.42 eV per cell
V = 165.9 Å³/cell

Unit cell a=5.4942 b=5.4942 c=5.4942 alpha=90.00 beta=90.00 gamma=90.00
Fractional positions:
1 Y 0.0000 0.0000 0.0000
2 Au 0.0000 0.0000 0.5000
3 Au 0.0000 0.5000 0.0000
4 Au 0.5000 0.0000 0.0000
5 Se 0.5000 0.5000 0.5000



(4)
This record from the Alexandria database describes a geometry-optimized NaLi4Tl4 structure. The functional is PBE.

formation enthalpy at 0 K = -0.095 eV/atom
symmetry = P4_2/nmc (137)
DFT total energy = -38.58 eV per cell
V = 456.5 Å³/cell

Unit cell a=6.6989 b=6.6989 c=10.1718 alpha=90.00 beta=90.00 gamma=90.00
Fractional positions:
1 Na 0.2500 0.7500 0.2500
2 Na 0.7500 0.2500 0.7500
3 Li 0.0315 0.2500 0.0417
4 Li 0.2500 0.0315 0.5417
5 Li 0.2500 0.4685 0.5417
6 Li 0.4685 0.2500 0.0417
7 Li 0.5315 0.7500 0.9583
8 Li 0.7500 0.5315 0.4583
9 Li 0.7500 0.9685 0.4583
10 Li 0.9685 0.7500 0.9583
11 Tl 0.0224 0.2500 0.3392
12 Tl 0.2500 0.0224 0.8392
13 Tl 0.2500 0.4776 0.8392
14 Tl 0.4776 0.2500 0.3392
15 Tl 0.5224 0.7500 0.6608
16 Tl 0.7500 0.5224 0.1608
17 Tl 0.7500 0.9776 0.1608
18 Tl 0.9776 0.7500 0.6608



(5)
This record from the Alexandria database describes a geometry-optimized Nd10Ho4Pu structure. The functional is PBE.

formation enthalpy at 0 K = 0.348 eV/atom
symmetry = I4/m (87)
DFT total energy = -75.10 eV per cell
V = 517.4 Å³/cell

Unit cell a=8.7702 b=8.7702 c=8.7702 alpha=111.51 beta=111.51 gamma=105.47
Fractional positions:
1 Nd 0.0428 0.9458 0.6727
2 Nd 0.0542 0.7269 0.0969
3 Nd 0.2500 0.7500 0.5000
4 Nd 0.2731 0.3701 0.3273
5 Nd 0.3701 0.0428 0.0969
6 Nd 0.6299 0.9572 0.9031
7 Nd 0.7269 0.6299 0.6727
8 Nd 0.7500 0.2500 0.5000
9 Nd 0.9458 0.2731 0.9031
10 Nd 0.9572 0.0542 0.3273
11 Ho 0.1735 0.5591 0.7326
12 Ho 0.4409 0.1735 0.6144
13 Ho 0.5591 0.8265 0.3856
14 Ho 0.8265 0.4409 0.2674
15 Pu 0.5000 0.5000 0.0000



(6)
This record from the Alexandria database describes a geometry-optimized NbSb2Au structure. The functional is PBE.

energy relative to the lowest polymorph listed for this composition = 1.06 eV per formula unit
symmetry = I-42d (122)
energy relative to the elements, uncorrected = 386 meV/atom
DFT total energy = -40.10 eV per cell
V = 248.9 Å³/cell

Unit cell a=7.6584 b=7.6584 c=7.6584 alpha=131.19 beta=131.19 gamma=71.51
Fractional positions:
1 Nb 0.0000 0.0000 0.0000
2 Nb 0.7500 0.2500 0.5000
3 Sb 0.1206 0.6250 0.9956
4 Sb 0.3750 0.3706 0.4956
5 Sb 0.6294 0.1250 0.0044
6 Sb 0.8750 0.8794 0.5044
7 Au 0.2500 0.7500 0.5000
8 Au 0.5000 0.5000 0.0000



(7)
This record from the Alexandria database describes a geometry-optimized Ce2InBRh6 structure. The functional is PBE.

formation enthalpy at 0 K = -0.541 eV/atom
symmetry = R-3m (166)
DFT total energy = -70.80 eV per cell
V = 187.1 Å³/cell

Unit cell a=7.4364 b=7.4364 c=7.4364 alpha=44.99 beta=44.99 gamma=44.99
Fractional positions:
1 Ce 0.2479 0.2479 0.2479
2 Ce 0.7521 0.7521 0.7521
3 In 0.5000 0.5000 0.5000
4 B 0.0000 0.0000 0.0000
5 Rh 0.2305 0.2305 0.7129
6 Rh 0.2305 0.7129 0.2305
7 Rh 0.2871 0.7695 0.7695
8 Rh 0.7129 0.2305 0.2305
9 Rh 0.7695 0.2871 0.7695
10 Rh 0.7695 0.7695 0.2871



(8)
This record from the Alexandria database describes a geometry-optimized Pr4Sm2Dy structure. The functional is PBE.

energy relative to the lowest polymorph listed for this composition = 0.00 eV per formula unit
formation enthalpy at 0 K = 0.061 eV/atom
symmetry = Fdd2 (43)
DFT total energy = -65.46 eV per cell
V = 490.8 Å³/cell

Unit cell a=12.7185 b=6.9206 c=13.7185 alpha=66.95 beta=30.05 gamma=83.00
Fractional positions:
1 Pr 0.0202 0.9798 0.1198
2 Pr 0.1302 0.3698 0.2298
3 Pr 0.3698 0.1302 0.2702
4 Pr 0.4488 0.6074 0.2639
5 Pr 0.5701 0.9861 0.6426
6 Pr 0.6074 0.4488 0.6799
7 Pr 0.9798 0.0202 0.8802
8 Pr 0.9861 0.5701 0.8012
9 Sm 0.0615 0.5374 0.0091
10 Sm 0.2409 0.8581 0.1885
11 Sm 0.5374 0.0615 0.3919
12 Sm 0.8581 0.2409 0.7126
13 Dy 0.4963 0.4963 0.5037
14 Dy 0.7463 0.7463 0.7537



(9)
This record from the Alexandria database describes a geometry-optimized HgPb4Au5 structure. The functional is PBE.

formation enthalpy at 0 K = -0.033 eV/atom
symmetry = I4 (79)
DFT total energy = -31.85 eV per cell
V = 247.7 Å³/cell

Unit cell a=7.0744 b=7.0744 c=7.0744 alpha=100.59 beta=100.59 gamma=129.24
Fractional positions:
1 Hg 0.0000 0.0000 0.0000
2 Pb 0.1802 0.9449 0.6156
3 Pb 0.3293 0.5645 0.3844
4 Pb 0.5645 0.1802 0.2353
5 Pb 0.9449 0.3293 0.7647
6 Au 0.0020 0.6505 0.1643
7 Au 0.4843 0.4843 0.0000
8 Au 0.4861 0.8377 0.8357
9 Au 0.6505 0.4861 0.6484
10 Au 0.8377 0.0020 0.3516



(10)
This record from the Alexandria database describes a geometry-optimized PrEr2TcO8 structure. The functional is PBE.

symmetry = Cmmm (65)
energy relative to the elements, uncorrected = -2605 meV/atom
DFT total energy = -95.20 eV per cell
V = 175.0 Å³/cell

Unit cell a=5.0569 b=5.0569 c=6.8420 alpha=90.00 beta=90.00 gamma=90.56
Fractional positions:
1 Pr 0.0000 0.0000 0.0000
2 Er 0.5000 0.5000 0.2491
3 Er 0.5000 0.5000 0.7509
4 Tc 0.0000 0.0000 0.5000
5 O 0.1862 0.1862 0.2991
6 O 0.1862 0.1862 0.7009
7 O 0.2664 0.7336 0.5000
8 O 0.3180 0.6820 0.0000
9 O 0.6820 0.3180 0.0000
10 O 0.7336 0.2664 0.5000
11 O 0.8138 0.8138 0.2991
12 O 0.8138 0.8138 0.7009



(11)
This record from the Alexandria database describes a geometry-optimized Li7CdAg3 structure. The functional is PBE.

energy relative to the lowest polymorph listed for this composition = 0.56 eV per formula unit
formation enthalpy at 0 K = -0.089 eV/atom
symmetry = C2/m (12)
DFT total energy = -23.84 eV per cell
V = 203.5 Å³/cell

Unit cell a=6.8854 b=6.8854 c=4.9624 alpha=110.86 beta=110.86 gamma=89.56
Fractional positions:
1 Li 0.0000 0.0000 0.0000
2 Li 0.1041 0.5541 0.3286
3 Li 0.3304 0.3304 0.8324
4 Li 0.4459 0.8959 0.6714
5 Li 0.5541 0.1041 0.3286
6 Li 0.6696 0.6696 0.1676
7 Li 0.8959 0.4459 0.6714
8 Cd 0.0000 0.0000 0.5000
9 Ag 0.2678 0.7322 0.0000
10 Ag 0.5000 0.5000 0.5000
11 Ag 0.7322 0.2678 0.0000



(12)
This record from the Alexandria database describes a geometry-optimized SrYBr2 structure. The functional is PBE.

energy relative to the lowest polymorph listed for this composition = 0.42 eV per formula unit
symmetry = R-3m (166)
energy relative to the elements, uncorrected = -1109 meV/atom
DFT total energy = -15.93 eV per cell
V = 120.0 Å³/cell

Unit cell a=9.8417 b=9.8417 c=9.8417 alpha=22.27 beta=22.27 gamma=22.27
Fractional positions:
1 Sr 0.0000 0.0000 0.0000
2 Y 0.5000 0.5000 0.5000
3 Br 0.2409 0.2409 0.2409
4 Br 0.7591 0.7591 0.7591